# GGA-PBE FeCoAsBr2, optimized geometry
# DOS at the Fermi energy = 0.89 states/eV/atom
# calculated total energy = -20.20 eV/cell
# density = 5.21 g/cm3
# ΔE to the lowest computed polymorph = 0.0000 eV per atom
# formation energy without anion corrections = 0.673 eV/atom
data_FeCoAsBr2
_cell_length_a 5.003
_cell_length_b 5.003
_cell_length_c 4.446
_cell_angle_alpha 90.00
_cell_angle_beta 90.00
_cell_angle_gamma 90.00
_symmetry_space_group_name_H-M 'P 4/m m m'
_symmetry_Int_Tables_number 123
_symmetry_space_group_name_Hall '-P 4 2'
loop_
_atom_site_label
_atom_site_type_symbol
_atom_site_fract_x
_atom_site_fract_y
_atom_site_fract_z
_atom_site_occupancy
Fe1 Fe 0.000 0.000 0.000 1
Co1 Co 0.500 0.500 0.500 1
As1 As 0.500 0.500 0.000 1
Br1 Br 0.000 0.500 0.500 1